# 1
A geometry-optimized TlGa2AgF8 structure. Source: Alexandria, functional PBE.

* energy: -0.1602 Ha/atom
* energy relative to the elements, uncorrected: -2172 meV/atom

Geometry as CIF:
```
data_TlGa2AgF8
_cell_length_a 5.6982
_cell_length_b 5.6982
_cell_length_c 22.5585
_cell_angle_alpha 90.00
_cell_angle_beta 90.00
_cell_angle_gamma 120.00
_space_group_name_H-M_alt 'R -3'
_space_group_IT_number 148
_space_group_name_Hall '-R 3'
loop_
_atom_site_label
_atom_site_type_symbol
_atom_site_fract_x
_atom_site_fract_y
_atom_site_fract_z
Tl1 Tl 0.0000 0.0000 0.0000
Ga1 Ga 0.0000 0.0000 0.2498
Ag1 Ag 0.0000 0.0000 0.5000
F1 F 0.0000 0.0000 0.3298
F2 F 0.0168 0.3790 0.4396
```



# 2
A geometry-optimized SrPd2I2 structure. Source: Alexandria, functional PBE.

* energy: -0.1281 Ha/atom
* energy relative to the elements, uncorrected: -451 meV/atom
* relative energy among the computed polymorphs: 23 meV per atom

Geometry as CIF:
```
data_SrPd2I2
_cell_length_a 5.6251
_cell_length_b 5.6251
_cell_length_c 8.8574
_cell_angle_alpha 90.00
_cell_angle_beta 90.00
_cell_angle_gamma 90.00
_space_group_name_H-M_alt 'I 4/m m m'
_space_group_IT_number 139
_space_group_name_Hall '-I 4 2'
loop_
_atom_site_label
_atom_site_type_symbol
_atom_site_fract_x
_atom_site_fract_y
_atom_site_fract_z
Sr1 Sr 0.0000 0.0000 0.0000
Pd1 Pd 0.0000 0.0000 0.3376
I1 I 0.0000 0.5000 0.2500
```



# 3
A geometry-optimized RbSi3Cl structure. Source: Alexandria, functional PBE.

* energy: -0.1038 Ha/atom
* energy relative to the elements, uncorrected: 992 meV/atom
* relative energy among the computed polymorphs: 0 meV per atom

Geometry as CIF:
```
data_RbSi3Cl
_cell_length_a 5.0972
_cell_length_b 5.0972
_cell_length_c 5.0972
_cell_angle_alpha 90.00
_cell_angle_beta 90.00
_cell_angle_gamma 90.00
_space_group_name_H-M_alt 'P m -3 m'
_space_group_IT_number 221
_space_group_name_Hall '-P 4 2 3'
loop_
_atom_site_label
_atom_site_type_symbol
_atom_site_fract_x
_atom_site_fract_y
_atom_site_fract_z
Rb1 Rb 0.0000 0.0000 0.0000
Si1 Si 0.0000 0.5000 0.5000
Cl1 Cl 0.5000 0.5000 0.5000
```



# 4
A geometry-optimized TbYScIn structure. Source: Alexandria, functional PBE.

* formation enthalpy at 0 K: -0.69 eV/f.u.
* energy: -0.1916 Ha/atom
* relative energy among the computed polymorphs: 94 meV per atom

Geometry as CIF:
```
data_TbYScIn
_cell_length_a 7.5765
_cell_length_b 7.5765
_cell_length_c 7.5765
_cell_angle_alpha 90.00
_cell_angle_beta 90.00
_cell_angle_gamma 90.00
_space_group_name_H-M_alt 'F -4 3 m'
_space_group_IT_number 216
_space_group_name_Hall 'F -4 2 3'
loop_
_atom_site_label
_atom_site_type_symbol
_atom_site_fract_x
_atom_site_fract_y
_atom_site_fract_z
Tb1 Tb 0.0000 0.0000 0.0000
Y1 Y 0.0000 0.0000 0.5000
Sc1 Sc 0.2500 0.2500 0.2500
In1 In 0.2500 0.2500 0.7500
```



# 5
A geometry-optimized K2AcErS4 structure. Source: Alexandria, functional PBE.

* energy: -0.1942 Ha/atom
* energy relative to the elements, uncorrected: -1863 meV/atom

Geometry as CIF:
```
data_K2AcErS4
_cell_length_a 7.3336
_cell_length_b 4.2247
_cell_length_c 7.7932
_cell_angle_alpha 90.00
_cell_angle_beta 108.17
_cell_angle_gamma 90.00
_space_group_name_H-M_alt 'P 1 2/m 1'
_space_group_IT_number 10
_space_group_name_Hall '-P 2y'
loop_
_atom_site_label
_atom_site_type_symbol
_atom_site_fract_x
_atom_site_fract_y
_atom_site_fract_z
K1 K 0.0000 0.0000 0.0000
K2 K 0.5000 0.5000 0.0000
Ac1 Ac 0.0000 0.5000 0.5000
Er1 Er 0.5000 0.0000 0.5000
S1 S 0.2576 0.0000 0.7100
S2 S 0.2834 0.5000 0.2979
```



# 6
A geometry-optimized Ba3Pr3ScTe8 structure. Source: Alexandria, functional PBE.

* energy: -0.1825 Ha/atom
* energy relative to the elements, uncorrected: -1527 meV/atom

Geometry as CIF:
```
data_Ba3Pr3ScTe8
_cell_length_a 9.1704
_cell_length_b 9.1704
_cell_length_c 24.2160
_cell_angle_alpha 90.00
_cell_angle_beta 90.00
_cell_angle_gamma 120.00
_space_group_name_H-M_alt 'R -3 m'
_space_group_IT_number 166
_space_group_name_Hall '-R 3 2"'
loop_
_atom_site_label
_atom_site_type_symbol
_atom_site_fract_x
_atom_site_fract_y
_atom_site_fract_z
Ba1 Ba 0.0000 0.5000 0.0000
Pr1 Pr 0.0000 0.5000 0.5000
Sc1 Sc 0.0000 0.0000 0.5000
Te1 Te 0.0000 0.0000 0.2426
Te2 Te 0.0175 0.5088 0.2377
```



# 7
A geometry-optimized CsK2IrO6 structure. Source: Alexandria, functional PBE.

* energy: -0.1887 Ha/atom
* energy relative to the elements, uncorrected: -969 meV/atom

Geometry as CIF:
```
data_CsK2IrO6
_cell_length_a 6.7041
_cell_length_b 6.7041
_cell_length_c 15.2627
_cell_angle_alpha 90.00
_cell_angle_beta 90.00
_cell_angle_gamma 120.00
_space_group_name_H-M_alt 'R -3'
_space_group_IT_number 148
_space_group_name_Hall '-R 3'
loop_
_atom_site_label
_atom_site_type_symbol
_atom_site_fract_x
_atom_site_fract_y
_atom_site_fract_z
Cs1 Cs 0.0000 0.0000 0.0000
K1 K 0.0000 0.0000 0.2714
Ir1 Ir 0.0000 0.0000 0.5000
O1 O 0.0035 0.7743 0.5710
```



# 8
A geometry-optimized Y2MnReBr structure. Source: Alexandria, functional PBE.

* energy: -0.2306 Ha/atom
* energy relative to the elements, uncorrected: 969 meV/atom

Geometry as CIF:
```
data_Y2MnReBr
_cell_length_a 5.2604
_cell_length_b 5.2604
_cell_length_c 4.3490
_cell_angle_alpha 90.00
_cell_angle_beta 90.00
_cell_angle_gamma 90.00
_space_group_name_H-M_alt 'P 4/m m m'
_space_group_IT_number 123
_space_group_name_Hall '-P 4 2'
loop_
_atom_site_label
_atom_site_type_symbol
_atom_site_fract_x
_atom_site_fract_y
_atom_site_fract_z
Y1 Y 0.0000 0.5000 0.0000
Mn1 Mn 0.0000 0.0000 0.0000
Re1 Re 0.5000 0.5000 0.5000
Br1 Br 0.0000 0.0000 0.5000
```



# 9
A geometry-optimized SnHgOsPd2 structure. Source: Alexandria, functional PBE.

* formation enthalpy at 0 K: 5.67 eV/f.u.
* energy: -0.1489 Ha/atom

Geometry as CIF:
```
data_SnHgOsPd2
_cell_length_a 4.8846
_cell_length_b 4.8846
_cell_length_c 4.9659
_cell_angle_alpha 90.00
_cell_angle_beta 90.00
_cell_angle_gamma 90.00
_space_group_name_H-M_alt 'P 4/m m m'
_space_group_IT_number 123
_space_group_name_Hall '-P 4 2'
loop_
_atom_site_label
_atom_site_type_symbol
_atom_site_fract_x
_atom_site_fract_y
_atom_site_fract_z
Sn1 Sn 0.0000 0.0000 0.0000
Hg1 Hg 0.5000 0.5000 0.5000
Os1 Os 0.0000 0.0000 0.5000
Pd1 Pd 0.0000 0.5000 0.0000
```



# 10
A geometry-optimized UPtRh4 structure. Source: Alexandria, functional PBE.

* formation enthalpy at 0 K: 2.06 eV/f.u.
* energy: -0.2737 Ha/atom

Geometry as CIF:
```
data_UPtRh4
_cell_length_a 9.3984
_cell_length_b 9.3984
_cell_length_c 5.7488
_cell_angle_alpha 90.00
_cell_angle_beta 90.00
_cell_angle_gamma 90.00
_space_group_name_H-M_alt 'I 41 m d'
_space_group_IT_number 109
_space_group_name_Hall 'I 4bw -2'
loop_
_atom_site_label
_atom_site_type_symbol
_atom_site_fract_x
_atom_site_fract_y
_atom_site_fract_z
U1 U 0.0000 0.0000 0.0000
Pt1 Pt 0.0000 0.0000 0.5003
Rh1 Rh 0.0000 0.2285 0.8371
Rh2 Rh 0.0000 0.2622 0.3443
```



# 11
A geometry-optimized Ir2PtAu structure. Source: Alexandria, functional PBE.

* formation enthalpy at 0 K: 1.33 eV/f.u.
* energy: -0.2362 Ha/atom
* relative energy among the computed polymorphs: 223 meV per atom

Geometry as CIF:
```
data_Ir2PtAu
_cell_length_a 3.9710
_cell_length_b 3.9710
_cell_length_c 3.9602
_cell_angle_alpha 90.00
_cell_angle_beta 90.00
_cell_angle_gamma 90.00
_space_group_name_H-M_alt 'P 4/m m m'
_space_group_IT_number 123
_space_group_name_Hall '-P 4 2'
loop_
_atom_site_label
_atom_site_type_symbol
_atom_site_fract_x
_atom_site_fract_y
_atom_site_fract_z
Ir1 Ir 0.0000 0.5000 0.0000
Pt1 Pt 0.0000 0.0000 0.5000
Au1 Au 0.5000 0.5000 0.5000
```



# 12
A geometry-optimized Li2PbSe structure. Source: Alexandria, functional PBE.

* energy: -0.1210 Ha/atom
* energy relative to the elements, uncorrected: -536 meV/atom

Geometry as CIF:
```
data_Li2PbSe
_cell_length_a 7.6271
_cell_length_b 7.6271
_cell_length_c 6.2260
_cell_angle_alpha 90.00
_cell_angle_beta 90.00
_cell_angle_gamma 90.00
_space_group_name_H-M_alt 'I -4 2 d'
_space_group_IT_number 122
_space_group_name_Hall 'I -4 2bw'
loop_
_atom_site_label
_atom_site_type_symbol
_atom_site_fract_x
_atom_site_fract_y
_atom_site_fract_z
Li1 Li 0.1804 0.2500 0.1250
Pb1 Pb 0.0000 0.0000 0.5000
Se1 Se 0.0000 0.0000 0.0000
```